[1]
The following is a PBE calculation of a geometry-optimized Cs5Rb12Cd3 structure, from Alexandria via LeMat-Bulk.

```
Cs5Rb12Cd3
1.0
-20.465 -7.189 4.094
14.051 -17.010 0.699
5.742 14.917 15.224
Cd Cs Rb
12 20 48
Cartesian
-9.362 -9.905 5.235
-6.651 -17.183 6.009
6.453 -6.130 11.574
-1.207 1.670 6.820
-14.715 -4.687 7.475
2.543 -9.598 5.778
-3.215 0.316 14.238
14.043 -4.595 12.541
0.534 -10.952 13.197
-7.125 -3.151 8.442
5.979 7.901 14.007
8.690 0.624 14.781
4.146 -3.548 4.580
7.025 -8.505 0.349
0.000 0.000 0.000
-3.444 -5.084 3.613
-7.362 3.864 9.659
-3.207 -12.099 2.396
10.133 -8.062 6.745
-8.568 5.535 16.479
-4.414 -10.429 9.216
-1.612 6.366 13.040
0.939 -15.647 6.976
-0.336 -4.641 10.008
-10.232 -3.594 2.047
2.871 7.458 7.612
3.742 1.147 10.800
7.896 -14.816 3.538
9.896 -1.046 7.961
-10.805 -1.219 13.272
2.772 -4.198 16.403
-4.819 -5.733 15.437
-12.982 -6.313 4.580
3.997 -5.685 8.781
-12.013 -9.054 7.740
-7.806 -6.550 4.644
1.710 -7.397 13.105
-10.043 -13.353 6.530
5.739 -9.465 7.726
12.305 -13.298 2.830
5.455 -9.488 12.900
-5.792 -13.538 5.948
-7.471 -6.851 8.914
-3.196 -20.959 5.514
11.228 -4.927 10.093
-0.370 -8.660 3.618
13.144 -11.692 6.723
-2.816 3.055 9.905
1.278 0.193 4.439
1.172 -13.534 2.766
-3.379 -17.343 7.824
2.858 -6.835 1.452
9.559 -6.917 13.513
0.015 -8.987 8.473
-4.406 -12.339 13.528
-5.460 1.996 16.722
-0.687 -0.294 11.543
3.734 3.058 6.489
4.787 -11.278 3.295
2.706 8.062 12.192
-10.231 -2.365 6.503
-3.530 -2.447 18.564
-1.844 4.252 17.250
2.144 -12.337 10.111
-1.950 -9.475 15.578
-13.817 2.410 13.293
-11.900 -4.355 9.923
2.524 11.677 14.502
-0.303 -0.622 16.398
-6.127 0.206 7.116
5.120 4.256 14.068
6.799 -2.431 11.102
-12.977 4.016 17.186
-6.411 0.184 12.290
7.134 -2.731 15.372
9.371 4.072 13.486
-2.382 -1.885 6.911
11.341 -0.228 12.276
-4.669 -3.596 11.235
12.310 -2.968 15.436
```

Summary:
Energy relative to the elements (eV per formula unit): 3.20
SG: Ia-3d



[2]
The following is a PBE calculation of a geometry-optimized MgPt3Cl structure, from Alexandria via LeMat-Bulk.

```
MgPt3Cl
1.0
4.602 0.000 0.000
0.000 4.602 0.000
0.000 0.000 4.602
Mg Pt Cl
1 3 1
Cartesian
2.301 2.301 2.301
0.000 2.301 0.000
0.000 0.000 2.301
2.301 0.000 0.000
0.000 0.000 0.000
```

Summary:
Energy relative to the lowest polymorph listed for this composition (eV/atom): 0.0000
Uncorrected formation energy (eV per atom): 0.62
SG: Pm-3m



[3]
The following is a PBE calculation of a geometry-optimized In2CoBiCl structure, from Alexandria via LeMat-Bulk.

```
In2CoBiCl
1.0
-0.299 -2.060 -4.610
-4.196 -2.468 1.374
-2.748 3.821 -1.529
Cl Co Bi In
1 1 1 2
Cartesian
-3.621 -0.353 -2.383
0.000 0.000 0.000
-1.374 1.910 -0.765
-2.098 -1.234 0.687
-0.149 -1.030 -2.305
```

Summary:
Uncorrected formation energy (eV per atom): -0.19
SG: P4/mmm



| no. | VASP energy (eV per atom) |
| --- | --- |
| 1 | -0.77 |
| 2 | -3.69 |
| 3 | -3.85 |